Entry 1:
A geometry-optimized Dy4GaRu2 structure. Source: Alexandria, functional GGA-PBE.

Structure (POSCAR):
```
Dy4GaRu2
1.0
5.0487 -4.3604 0.0000
5.0487 4.3604 0.0000
-4.9541 0.0000 7.5649
Dy Ga Ru
8 2 4
direct
0.0729 0.0729 0.3610 Dy
0.3021 0.5274 0.7510 Dy
0.4726 0.6979 0.2490 Dy
0.5027 0.2002 0.2657 Dy
0.5433 0.0254 0.8114 Dy
0.7998 0.4973 0.7343 Dy
0.9271 0.9271 0.6390 Dy
0.9746 0.4567 0.1886 Dy
0.2038 0.2789 0.9458 Ga
0.7211 0.7962 0.0542 Ga
0.0219 0.9781 0.0000 Ru
0.3853 0.6147 0.5000 Ru
0.5052 0.1245 0.5412 Ru
0.8755 0.4948 0.4588 Ru
```

Its symmetry is C2, No. 5. The value obtained for the total magnetization is 0.000 μB per formula unit. The value obtained for the energy is -6.01 eV/atom. For the formation energy, the calculation gives -0.297 eV per atom. The energy above the lowest structure with this stoichiometry comes out at 76 meV/atom.

Entry 2:
A geometry-optimized Dy2Ga5Ru structure. Source: Alexandria, functional GGA-PBE.

Structure (POSCAR):
```
Dy2Ga5Ru
1.0
-3.0804 3.0804 4.1661
3.0804 -3.0804 4.1661
3.0804 3.0804 -4.1661
Dy Ga Ru
2 5 1
direct
0.0000 0.5000 0.5000 Dy
0.5000 0.0000 0.5000 Dy
0.0015 0.0015 0.0000 Ga
0.0341 0.0341 0.5741 Ga
0.0341 0.4600 0.0000 Ga
0.4600 0.0341 0.0000 Ga
0.4600 0.4600 0.4259 Ga
0.7085 0.7085 0.0000 Ru
```

Its symmetry is I4mm, No. 107. The value obtained for the total magnetization is 0.000 μB per formula unit. The value obtained for the energy is -4.63 eV/atom. For the formation energy, the calculation gives -0.429 eV per atom.

Entry 3:
A geometry-optimized DyGa2Ru3 structure. Source: Alexandria, functional GGA-PBE.

Structure (POSCAR):
```
DyGa2Ru3
1.0
5.4513 0.0000 0.0000
-2.7256 4.7209 0.0000
0.0000 0.0000 4.0181
Dy Ga Ru
1 2 3
direct
0.0000 0.0000 0.0000 Dy
0.3333 0.6667 0.0000 Ga
0.6667 0.3333 0.0000 Ga
0.0000 0.5000 0.5000 Ru
0.5000 0.0000 0.5000 Ru
0.5000 0.5000 0.5000 Ru
```

Its symmetry is P6/mmm, No. 191. The value obtained for the total magnetization is 1.394 μB per formula unit. The value obtained for the energy is -6.72 eV/atom. For the formation energy, the calculation gives -0.311 eV per atom.

Entry 4:
A geometry-optimized DyGa4Ru3 structure. Source: Alexandria, functional GGA-PBE.

Structure (POSCAR):
```
DyGa4Ru3
1.0
8.7899 0.0000 0.0000
0.0000 6.5362 0.0000
0.0000 0.0000 4.4142
Dy Ga Ru
2 8 6
direct
0.0000 0.0000 0.0000 Dy
0.5000 0.0000 0.0000 Dy
0.0000 0.2847 0.5000 Ga
0.0000 0.7153 0.5000 Ga
0.2500 0.2861 0.0097 Ga
0.2500 0.7139 0.0097 Ga
0.5000 0.2847 0.5000 Ga
0.5000 0.7153 0.5000 Ga
0.7500 0.2861 0.9903 Ga
0.7500 0.7139 0.9903 Ga
0.0000 0.5000 0.0000 Ru
0.2500 0.0000 0.4682 Ru
0.2500 0.5000 0.5106 Ru
0.5000 0.5000 0.0000 Ru
0.7500 0.0000 0.5318 Ru
0.7500 0.5000 0.4894 Ru
```

Its symmetry is Pmma, No. 51. The value obtained for the total magnetization is 0.000 μB per formula unit. The value obtained for the energy is -5.91 eV/atom. For the formation energy, the calculation gives -0.338 eV per atom.